1.
Below is an optimized crystal structure of LaMgPt, with properties calculated at the PBEsol level.

Lattice parameters (Å, degrees): 6.9140 6.9140 6.9140 90.00 90.00 90.00
Sites, in units of the cell vectors:
La: 0.0000 0.0000 0.0000
La: 0.0000 0.5000 0.5000
La: 0.5000 0.0000 0.5000
La: 0.5000 0.5000 0.0000
Mg: 0.2500 0.2500 0.7500
Mg: 0.2500 0.7500 0.2500
Mg: 0.7500 0.2500 0.2500
Mg: 0.7500 0.7500 0.7500
Pt: 0.2500 0.2500 0.2500
Pt: 0.2500 0.7500 0.7500
Pt: 0.7500 0.2500 0.7500
Pt: 0.7500 0.7500 0.2500

Calculated values
- energy (eV/cell) = -55.50
- space group = F-43m
- mass density (g cm⁻³) = 7.200


2.
Below is an optimized crystal structure of LaMgPt, with properties calculated at the PBEsol level.

Lattice parameters (Å, degrees): 4.5493 4.5493 3.9250 90.00 90.00 120.00
Sites, in units of the cell vectors:
La: 0.0000 0.0000 0.0000
Mg: 0.3333 0.6667 0.5000
Pt: 0.6667 0.3333 0.5000

Calculated values
- energy (eV/cell) = -15.98
- space group = P-6m2
- mass density (g cm⁻³) = 8.457


3.
Below is an optimized crystal structure of LaMg2Pt2, with properties calculated at the PBEsol level.

Lattice parameters (Å, degrees): 4.0744 4.0744 12.4514 90.00 90.00 90.00
Sites, in units of the cell vectors:
La: 0.0000 0.0000 0.0000
La: 0.5000 0.5000 0.5000
Mg: 0.0000 0.5000 0.2500
Mg: 0.0000 0.5000 0.7500
Mg: 0.5000 0.0000 0.2500
Mg: 0.5000 0.0000 0.7500
Pt: 0.0000 0.0000 0.3917
Pt: 0.0000 0.0000 0.6083
Pt: 0.5000 0.5000 0.1083
Pt: 0.5000 0.5000 0.8917

Calculated values
- energy (eV/cell) = -53.89
- space group = I4/mmm
- mass density (g cm⁻³) = 9.281


4.
Below is an optimized crystal structure of RbLaMg2, with properties calculated at the PBEsol level.

Lattice parameters (Å, degrees): 8.2404 8.2404 8.2404 90.00 90.00 90.00
Sites, in units of the cell vectors:
Rb: 0.0000 0.0000 0.0000
Rb: 0.0000 0.5000 0.5000
Rb: 0.5000 0.0000 0.5000
Rb: 0.5000 0.5000 0.0000
La: 0.0000 0.0000 0.5000
La: 0.0000 0.5000 0.0000
La: 0.5000 0.0000 0.0000
La: 0.5000 0.5000 0.5000
Mg: 0.2500 0.2500 0.2500
Mg: 0.2500 0.2500 0.7500
Mg: 0.2500 0.7500 0.2500
Mg: 0.2500 0.7500 0.7500
Mg: 0.7500 0.2500 0.2500
Mg: 0.7500 0.2500 0.7500
Mg: 0.7500 0.7500 0.2500
Mg: 0.7500 0.7500 0.7500

Calculated values
- energy (eV/cell) = -34.17
- space group = Fm-3m
- mass density (g cm⁻³) = 3.240


Q: Look up the mass density of the third one.
A: 9.281 g cm⁻³


Q: mass density of number 2 (LaMgPt)?
A: 8.457 g cm⁻³


Q: Among the records above, which one has the lowest energy?
A: number 1


Q: Among the records above, which one has the lowest mass density?
A: RbLaMg2